# PBE AgOsCl2, optimized geometry
data_AgOsCl2
_space_group_name_H-M_alt 'P 1'
_space_group_IT_number 1
_space_group_name_Hall 'P 1'
_cell_length_a 6.5705
_cell_length_b 6.5705
_cell_length_c 6.5705
_cell_angle_alpha 147.80
_cell_angle_beta 147.80
_cell_angle_gamma 46.19
loop_
_atom_site_label
_atom_site_fract_x
_atom_site_fract_y
_atom_site_fract_z
Os1 0.5000 0.5000 0.0000
Ag1 0.7500 0.2500 0.5000
Cl1 0.0000 0.0000 0.0000
Cl2 0.2500 0.7500 0.5000
# Size of the total moment in μB per formula unit: 2.6
# Final energy in eV/atom: -3.47
# Fermi-level density of states in states/eV/f.u.: 3.44
# E_form (uncorrected) in eV per formula unit: 3.9
# Excess energy over the best structure of this formula in the dataset in eV per atom: 0.720
# Symmetry: I-4m2, No. 119